Record 1
This record from Alexandria via LeMat-Bulk describes a geometry-optimized Mg2CoTe structure. The functional is GGA-PBE.

It has space group Cm (No. 8), with a = 9.1843 Å, b = 3.1099 Å, c = 6.5523 Å, α = 90.00°, β = 112.78° and γ = 90.00°. The asymmetric unit holds Mg at (0.0000, 0.0000, 0.0000), Mg at (0.1801, 0.0000, 0.7002), Co at (0.2434, 0.5000, 0.0565) and Te at (0.3477, 0.0000, 0.3846).

The calculation puts the uncorrected formation energy at -0.040 eV per atom. The value obtained for the calculated volume is 21.57 Å³ per atom.


Record 2
This record from Alexandria via LeMat-Bulk describes a geometry-optimized Nd3Cu3Rh structure. The functional is GGA-PBE.

It has space group Cmcm (No. 63), with a = 4.6452 Å, b = 10.1334 Å, c = 12.7029 Å, α = 90.00°, β = 90.00° and γ = 90.00°. The asymmetric unit holds Nd at (0.0000, 0.0248, 0.2500), Nd at (0.0000, 0.2634, 0.5992), Cu at (0.0000, 0.3150, 0.2500), Cu at (0.0000, 0.4440, 0.0879) and Rh at (0.0000, 0.0000, 0.0000).

The formation energy is -2.01 eV/f.u. The value obtained for the calculated volume is 21.36 Å³ per atom.


Record 3
This record from Alexandria via LeMat-Bulk describes a geometry-optimized LiPd6Au structure. The functional is GGA-PBE.

It has space group C2/m (No. 12), with a = 8.8969 Å, b = 3.9292 Å, c = 7.8373 Å, α = 90.00°, β = 116.12° and γ = 90.00°. The asymmetric unit holds Li at (0.0000, 0.0000, 0.0000), Pd at (0.0002, 0.5000, 0.2412), Pd at (0.2470, 0.0000, 0.3675), Pd at (0.2504, 0.0000, 0.8799) and Au at (0.0000, 0.0000, 0.5000).

The formation energy is -1.13 eV/f.u. The value obtained for the calculated volume is 15.37 Å³ per atom.


Record 4
This record from Alexandria via LeMat-Bulk describes a geometry-optimized BePt7 structure. The functional is GGA-PBE.

It has space group Fm-3m (No. 225), with a = 7.8412 Å, b = 7.8412 Å, c = 7.8412 Å, α = 90.00°, β = 90.00° and γ = 90.00°. The asymmetric unit holds Be at (0.0000, 0.0000, 0.0000), Pt at (0.0000, 0.0000, 0.5000) and Pt at (0.0000, 0.2500, 0.2500).

The formation energy is -1.02 eV/f.u. The value obtained for the calculated volume is 15.07 Å³ per atom.


Record 5
This record from Alexandria via LeMat-Bulk describes a geometry-optimized KNbCd structure. The functional is GGA-PBE.

It has space group P1 (No. 1), with a = 3.0284 Å, b = 6.5554 Å, c = 9.0832 Å, α = 108.81°, β = 93.48° and γ = 103.34°. The asymmetric unit holds K at (0.0000, 0.0000, 0.0000), K at (0.4573, 0.3852, 0.7695), Nb at (0.5712, 0.3657, 0.3835), Nb at (0.8779, 0.0191, 0.3860), Cd at (0.1422, 0.5966, 0.1878) and Cd at (0.3070, 0.7883, 0.5818).

The formation energy is 1.30 eV/f.u. Its polymorph energy (0 for the lowest one) is 0.58 eV/f.u. The value obtained for the calculated volume is 27.38 Å³ per atom.


Record 6
This record from Alexandria via LeMat-Bulk describes a geometry-optimized Tb2Pd3Pt3 structure. The functional is GGA-PBE.

It has space group Pmmm (No. 47), with a = 4.1023 Å, b = 4.1241 Å, c = 8.3231 Å, α = 90.00°, β = 90.00° and γ = 90.00°. The asymmetric unit holds Tb at (0.0000, 0.0000, 0.2500), Pd at (0.5000, 0.0000, 0.0000), Pd at (0.5000, 0.5000, 0.2496), Pt at (0.0000, 0.5000, 0.0000), Pt at (0.0000, 0.5000, 0.5000) and Pt at (0.5000, 0.0000, 0.5000).

The formation energy is -7.56 eV/f.u. The value obtained for the calculated volume is 17.60 Å³ per atom.


What is the formula in the second record? Nd3Cu3Rh